(1)
# LiZn6Ag8 PBE relaxed
# **DFT formation energy**: 19 meV per atom
# **Calculated volume**: 801 Å³ per cell
# **ρ**: 7855 kg/m³
# **Crystal system**: trigonal
data_LiZn6Ag8
_chemical_formula_sum 'Li3 Zn18 Ag24'
_cell_length_a 7.6195
_cell_length_b 7.6195
_cell_length_c 15.9236
_cell_angle_alpha 90.00
_cell_angle_beta 90.00
_cell_angle_gamma 120.00
_space_group_name_H-M_alt 'R -3'
_space_group_IT_number 148
_space_group_name_Hall '-R 3'
loop_
_atom_site_label
_atom_site_type_symbol
_atom_site_fract_x
_atom_site_fract_y
_atom_site_fract_z
_atom_site_occupancy
Li1 Li 0.0000 0.0000 0.0000 1
Zn1 Zn 0.0068 0.7016 0.3720 1
Ag1 Ag 0.0000 0.0000 0.2507 1
Ag2 Ag 0.0196 0.2991 0.1250 1

***

(2)
# Rb2CeI2Br4 PBE relaxed
# **Energy relative to the elements, uncorrected**: -1572 meV per atom
# **Calculated volume**: 763 Å³ per cell
# **ρ**: 3849 kg/m³
# **Crystal system**: tetragonal
data_Rb2CeI2Br4
_chemical_formula_sum 'Rb4 Ce2 I4 Br8'
_cell_length_a 8.0561
_cell_length_b 8.0561
_cell_length_c 11.7587
_cell_angle_alpha 90.00
_cell_angle_beta 90.00
_cell_angle_gamma 90.00
_space_group_name_H-M_alt 'I 4/m m m'
_space_group_IT_number 139
_space_group_name_Hall '-I 4 2'
loop_
_atom_site_label
_atom_site_type_symbol
_atom_site_fract_x
_atom_site_fract_y
_atom_site_fract_z
_atom_site_occupancy
Rb1 Rb 0.0000 0.5000 0.2500 1
Ce1 Ce 0.0000 0.0000 0.0000 1
I1 I 0.0000 0.0000 0.2590 1
Br1 Br 0.2442 0.2442 0.0000 1

***

(3)
# Li3Ca2MgBi4 PBE relaxed
# **DFT formation energy**: -553 meV per atom
# **Calculated volume**: 270 Å³ per cell
# **ρ**: 5921 kg/m³
# **Crystal system**: tetragonal
data_Li3Ca2MgBi4
_chemical_formula_sum 'Li3 Ca2 Mg1 Bi4'
_cell_length_a 4.7588
_cell_length_b 4.7588
_cell_length_c 11.9036
_cell_angle_alpha 90.00
_cell_angle_beta 90.00
_cell_angle_gamma 90.00
_space_group_name_H-M_alt 'P -4 m 2'
_space_group_IT_number 115
loop_
_space_group_symop_operation_xyz
'x,y,z'
'y,-x,-z'
'-x,-y,z'
'-y,x,-z'
'-x,y,z'
'-y,-x,-z'
'x,-y,z'
'y,x,-z'
loop_
_atom_site_label
_atom_site_type_symbol
_atom_site_fract_x
_atom_site_fract_y
_atom_site_fract_z
_atom_site_occupancy
Li1 Li 0.0000 0.0000 0.0000 1
Li2 Li 0.0000 0.5000 0.6306 1
Ca1 Ca 0.0000 0.5000 0.2667 1
Mg1 Mg 0.5000 0.5000 0.0000 1
Bi1 Bi 0.0000 0.0000 0.5000 1
Bi2 Bi 0.0000 0.5000 0.8526 1
Bi3 Bi 0.5000 0.5000 0.5000 1

***

(4)
# CoReAu2 PBE relaxed
# **DFT formation energy**: 617 meV per atom
# **Calculated volume**: 63 Å³ per cell
# **ρ**: 16759 kg/m³
# **Crystal system**: orthorhombic
data_CoReAu2
_chemical_formula_sum 'Co1 Re1 Au2'
_cell_length_a 2.7617
_cell_length_b 4.7230
_cell_length_c 4.8549
_cell_angle_alpha 90.00
_cell_angle_beta 90.00
_cell_angle_gamma 90.00
_space_group_name_H-M_alt 'P m m m'
_space_group_IT_number 47
loop_
_space_group_symop_operation_xyz
'x,y,z'
'-x,-y,-z'
'-x,-y,z'
'x,y,-z'
'x,-y,-z'
'-x,y,z'
'-x,y,-z'
'x,-y,z'
loop_
_atom_site_label
_atom_site_type_symbol
_atom_site_fract_x
_atom_site_fract_y
_atom_site_fract_z
_atom_site_occupancy
Co1 Co 0.0000 0.0000 0.0000 1
Re1 Re 0.5000 0.5000 0.0000 1
Au1 Au 0.0000 0.5000 0.5000 1
Au2 Au 0.5000 0.0000 0.5000 1

***

- What is the formula in the first record?
  LiZn6Ag8

***

- What is the calculated volume in the fourth record?
  63 Å³ per cell

***

Copy entry 1 word for word.
# LiZn6Ag8 PBE relaxed
# **DFT formation energy**: 19 meV per atom
# **Calculated volume**: 801 Å³ per cell
# **ρ**: 7855 kg/m³
# **Crystal system**: trigonal
data_LiZn6Ag8
_chemical_formula_sum 'Li3 Zn18 Ag24'
_cell_length_a 7.6195
_cell_length_b 7.6195
_cell_length_c 15.9236
_cell_angle_alpha 90.00
_cell_angle_beta 90.00
_cell_angle_gamma 120.00
_space_group_name_H-M_alt 'R -3'
_space_group_IT_number 148
_space_group_name_Hall '-R 3'
loop_
_atom_site_label
_atom_site_type_symbol
_atom_site_fract_x
_atom_site_fract_y
_atom_site_fract_z
_atom_site_occupancy
Li1 Li 0.0000 0.0000 0.0000 1
Zn1 Zn 0.0068 0.7016 0.3720 1
Ag1 Ag 0.0000 0.0000 0.2507 1
Ag2 Ag 0.0196 0.2991 0.1250 1